{"formula": "Ga2H6Pd", "functional": "PBE", "state": "optimized geometry", "lattice_angstrom": [[0.489, -4.382, 3.066], [4.665, -2.656, 0.164], [3.021, 0.151, 4.437]], "species": ["H", "H", "H", "H", "H", "H", "Ga", "Ga", "Pd"], "frac_coords": [[0.782, 0.218, 0.218], [0.218, 0.782, 0.782], [0.782, 0.782, 0.218], [0.218, 0.782, 0.218], [0.218, 0.218, 0.782], [0.782, 0.218, 0.782], [0.250, 0.250, 0.250], [0.750, 0.750, 0.750], [0.000, 0.000, 0.000]], "energy_ev_per_atom": -3.173, "spacegroup": "Fm-3m", "density_g_cm3": 3.82}

=====

{"formula": "GaHPd", "functional": "PBE", "state": "optimized geometry", "lattice_angstrom": [[3.808, 0.000, 0.000], [0.000, 3.298, 0.000], [0.000, -1.649, 2.856]], "species": ["Pd", "Ga", "H"], "frac_coords": [[0.167, 0.000, 0.000], [0.667, 0.333, 0.667], [0.166, 0.667, 0.333]], "energy_ev_per_atom": -3.996, "dos_at_fermi_per_ev_cell": 0.7, "spacegroup": "P3m1", "density_g_cm3": 8.20}

=====

{"formula": "GaH2Pd5", "functional": "PBE", "state": "optimized geometry", "lattice_angstrom": [[0.264, 3.512, 2.233], [-1.358, 2.921, -4.433], [-3.702, -3.574, 2.165]], "species": ["Ga", "Pd", "Pd", "Pd", "Pd", "Pd", "H", "H"], "frac_coords": [[0.000, 0.000, 0.000], [0.346, 0.598, 0.692], [0.346, 0.094, 0.692], [0.654, 0.402, 0.308], [0.654, 0.906, 0.308], [0.000, 0.500, 0.000], [0.790, 0.290, 0.580], [0.210, 0.710, 0.420]], "energy_ev_per_atom": -4.599, "dos_at_fermi_per_ev_cell": 6.2, "spacegroup": "Immm", "density_g_cm3": 9.99}

=====

{"formula": "GaHPd", "functional": "PBE", "state": "optimized geometry", "lattice_angstrom": [[-2.611, -0.802, -0.977], [-1.360, -2.267, 1.194], [-6.635, 7.998, 9.221]], "species": ["Ga", "Ga", "H", "H", "Pd", "Pd"], "frac_coords": [[0.579, 0.579, 0.424], [0.176, 0.176, 0.883], [0.417, 0.417, 0.175], [0.333, 0.333, 0.132], [0.531, 0.531, 0.737], [0.223, 0.223, 0.570]], "energy_ev_per_atom": -3.964, "dos_at_fermi_per_ev_cell": 3.1, "spacegroup": "Cm", "density_g_cm3": 5.82}

=====

{"formula": "Ga2H3Pd8", "functional": "PBE", "state": "optimized geometry", "lattice_angstrom": [[4.712, 0.000, -0.035], [0.000, 5.844, 0.000], [-1.951, -2.922, 6.061]], "species": ["Pd", "Pd", "Pd", "Pd", "Pd", "Pd", "Pd", "Pd", "H", "H", "H", "Ga", "Ga"], "frac_coords": [[0.355, 0.325, 0.158], [0.355, 0.833, 0.158], [0.908, 0.631, 0.262], [0.645, 0.167, 0.842], [0.897, 0.140, 0.281], [0.103, 0.860, 0.719], [0.645, 0.675, 0.842], [0.092, 0.369, 0.738], [0.000, 0.329, 0.000], [0.500, 0.000, 0.000], [0.000, 0.671, 0.000], [0.480, 0.252, 0.505], [0.520, 0.748, 0.495]], "energy_ev_per_atom": -4.661, "dos_at_fermi_per_ev_cell": 4.2, "spacegroup": "C2/m", "density_g_cm3": 9.91}

=====

{"formula": "Ga3HPd", "functional": "PBE", "state": "optimized geometry", "lattice_angstrom": [[4.824, 0.000, 0.000], [0.000, 4.824, 0.000], [0.000, 0.000, 4.824]], "species": ["Ga", "Ga", "Ga", "Pd", "H"], "frac_coords": [[0.000, 0.500, 0.000], [0.500, 0.000, 0.000], [0.000, 0.000, 0.500], [0.000, 0.000, 0.000], [0.500, 0.500, 0.500]], "energy_ev_per_atom": -3.314, "dos_at_fermi_per_ev_cell": 0.3, "spacegroup": "Pm-3m", "density_g_cm3": 4.68}

=====

{"formula": "GaH2Pd2", "functional": "PBE", "state": "optimized geometry", "lattice_angstrom": [[-2.769, -1.534, -0.564], [1.623, -2.448, -1.309], [-0.267, -4.210, 3.593]], "species": ["H", "H", "Pd", "Pd", "Ga"], "frac_coords": [[0.250, 0.750, 0.500], [0.750, 0.250, 0.500], [0.645, 0.645, 0.709], [0.355, 0.355, 0.291], [0.000, 0.000, 0.000]], "energy_ev_per_atom": -4.227, "dos_at_fermi_per_ev_cell": 1.1, "spacegroup": "I4/mmm", "density_g_cm3": 9.04}

=====

{"formula": "Ga2H2Pd", "functional": "PBE", "state": "optimized geometry", "lattice_angstrom": [[2.980, 0.000, 0.000], [0.000, 2.980, 0.000], [1.490, 1.490, 6.239]], "species": ["H", "H", "Pd", "Ga", "Ga"], "frac_coords": [[0.250, 0.750, 0.500], [0.750, 0.250, 0.500], [0.000, 0.000, 0.000], [0.638, 0.638, 0.724], [0.362, 0.362, 0.276]], "energy_ev_per_atom": -3.512, "dos_at_fermi_per_ev_cell": 1.6, "spacegroup": "I4/mmm", "density_g_cm3": 7.43}

=====

{"formula": "Ga2H2Pd", "functional": "PBE", "state": "optimized geometry", "lattice_angstrom": [[-3.801, -4.506, 1.300], [4.537, -3.110, 2.487], [-0.624, 1.338, 2.813]], "species": ["Ga", "Ga", "Ga", "Ga", "H", "H", "H", "H", "Pd", "Pd"], "frac_coords": [[0.852, 0.352, 0.500], [0.648, 0.852, 0.500], [0.352, 0.148, 0.500], [0.148, 0.648, 0.500], [0.260, 0.760, 0.000], [0.240, 0.260, 0.000], [0.760, 0.740, 0.000], [0.740, 0.240, 0.000], [0.500, 0.500, 0.000], [0.000, 0.000, 0.000]], "energy_ev_per_atom": -3.483, "dos_at_fermi_per_ev_cell": 1.6, "spacegroup": "P4/mbm", "density_g_cm3": 7.11}

=====

{"formula": "PmGaHPd2", "functional": "PBE", "state": "optimized geometry", "lattice_angstrom": [[3.872, 0.000, 0.000], [-1.936, 5.502, 0.000], [0.000, 0.000, 7.546]], "species": ["Ga", "Ga", "H", "H", "Pm", "Pm", "Pd", "Pd", "Pd", "Pd"], "frac_coords": [[0.271, 0.542, 0.250], [0.729, 0.458, 0.750], [0.000, 0.000, 0.000], [0.000, 0.000, 0.500], [0.446, 0.892, 0.750], [0.554, 0.108, 0.250], [0.844, 0.689, 0.056], [0.156, 0.311, 0.556], [0.844, 0.689, 0.444], [0.156, 0.311, 0.944]], "energy_ev_per_atom": -5.061, "dos_at_fermi_per_ev_cell": 2.9, "spacegroup": "Cmcm", "density_g_cm3": 8.85}

=====

{"formula": "Pm2GaHPd6", "functional": "PBE", "state": "optimized geometry", "lattice_angstrom": [[5.761, 0.019, 0.013], [-0.024, 6.814, 0.767], [2.857, 3.974, 4.863]], "species": ["Pd", "Pd", "Pd", "Pd", "Pd", "Pd", "Pm", "Pm", "Ga", "H"], "frac_coords": [[0.229, 0.268, 0.542], [0.771, 0.732, 0.458], [0.731, 0.770, 0.041], [0.228, 0.770, 0.041], [0.269, 0.230, 0.959], [0.772, 0.230, 0.959], [0.773, 0.225, 0.455], [0.227, 0.775, 0.545], [0.500, 0.500, 0.000], [0.000, 0.000, 0.000]], "energy_ev_per_atom": -5.412, "dos_at_fermi_per_ev_cell": 3.6, "spacegroup": "C2/m", "density_g_cm3": 9.58}

=====

{"formula": "PrGaHPd2", "functional": "PBE", "state": "optimized geometry", "lattice_angstrom": [[3.934, 0.000, 0.000], [-1.967, 5.526, 0.000], [0.000, 0.000, 7.558]], "species": ["Pd", "Pd", "Pd", "Pd", "Ga", "Ga", "Pr", "Pr", "H", "H"], "frac_coords": [[0.157, 0.314, 0.556], [0.843, 0.686, 0.056], [0.157, 0.314, 0.944], [0.843, 0.686, 0.444], [0.274, 0.548, 0.250], [0.726, 0.452, 0.750], [0.557, 0.114, 0.250], [0.443, 0.886, 0.750], [0.000, 0.000, 0.000], [0.000, 0.000, 0.500]], "energy_ev_per_atom": -5.057, "dos_at_fermi_per_ev_cell": 2.6, "spacegroup": "Cmcm", "density_g_cm3": 8.58}

=====

{"formula": "GaHPd2Pt", "functional": "PBE", "state": "optimized geometry", "lattice_angstrom": [[-1.765, 3.183, -1.658], [-3.586, -1.498, 0.943], [0.129, 1.894, 3.498]], "species": ["Pd", "Pd", "H", "Ga", "Pt"], "frac_coords": [[0.500, 0.000, 0.000], [0.000, 0.500, 0.000], [0.000, 0.000, 0.000], [0.500, 0.500, 0.500], [0.000, 0.000, 0.500]], "energy_ev_per_atom": -4.954, "dos_at_fermi_per_ev_cell": 0.7, "spacegroup": "P4/mmm", "density_g_cm3": 12.48}

=====

{"formula": "GaHPd2Pt", "functional": "PBE", "state": "optimized geometry", "lattice_angstrom": [[3.849, 0.000, 0.000], [0.000, 3.849, 0.000], [0.000, 0.000, 4.308]], "species": ["Pd", "Pd", "Pt", "Ga", "H"], "frac_coords": [[0.000, 0.500, 0.000], [0.500, 0.000, 0.000], [0.500, 0.500, 0.500], [0.000, 0.000, 0.500], [0.000, 0.000, 0.000]], "energy_ev_per_atom": -4.800, "dos_at_fermi_per_ev_cell": 1.8, "spacegroup": "P4/mmm", "density_g_cm3": 12.45}

=====

{"formula": "GaHPd2Rh", "functional": "PBE", "state": "optimized geometry", "lattice_angstrom": [[3.939, 0.000, 0.000], [0.000, 3.939, 0.000], [0.000, 0.000, 3.987]], "species": ["Pd", "Pd", "Rh", "H", "Ga"], "frac_coords": [[0.000, 0.500, 0.000], [0.500, 0.000, 0.000], [0.000, 0.000, 0.500], [0.000, 0.000, 0.000], [0.500, 0.500, 0.500]], "energy_ev_per_atom": -5.165, "dos_at_fermi_per_ev_cell": 3.6, "spacegroup": "P4/mmm", "density_g_cm3": 10.37}

=====

{"formula": "GaHPd2Ru", "functional": "PBE", "state": "optimized geometry", "lattice_angstrom": [[3.902, 0.000, 0.000], [0.000, 3.902, 0.000], [0.000, 0.000, 4.052]], "species": ["Ru", "Pd", "Pd", "H", "Ga"], "frac_coords": [[0.000, 0.000, 0.500], [0.000, 0.500, 0.000], [0.500, 0.000, 0.000], [0.000, 0.000, 0.000], [0.500, 0.500, 0.500]], "energy_ev_per_atom": -5.370, "dos_at_fermi_per_ev_cell": 3.8, "spacegroup": "P4/mmm", "density_g_cm3": 10.35}

=====

{"formula": "GaHPdS2", "functional": "PBE", "state": "optimized geometry", "lattice_angstrom": [[4.742, 0.000, 0.000], [0.000, 5.009, 0.000], [0.000, 0.000, 4.742]], "species": ["H", "S", "S", "Pd", "Ga"], "frac_coords": [[0.500, 0.500, 0.500], [0.000, 0.000, 0.500], [0.500, 0.000, 0.000], [0.000, 0.000, 0.000], [0.000, 0.500, 0.000]], "energy_ev_per_atom": -3.259, "dos_at_fermi_per_ev_cell": 3.1, "spacegroup": "P4/mmm", "density_g_cm3": 3.56}

=====

{"formula": "Ga2HPdS", "functional": "PBE", "state": "optimized geometry", "lattice_angstrom": [[-3.007, 3.086, 2.480], [-3.416, -0.939, -2.973], [-1.480, -3.765, 2.889]], "species": ["H", "Ga", "Ga", "Pd", "S"], "frac_coords": [[0.500, 0.500, 0.500], [0.500, 0.000, 0.000], [0.000, 0.000, 0.500], [0.000, 0.000, 0.000], [0.000, 0.500, 0.000]], "energy_ev_per_atom": -3.329, "dos_at_fermi_per_ev_cell": 2.2, "spacegroup": "P4/mmm", "density_g_cm3": 4.05}

=====

{"formula": "GaHPdS2", "functional": "PBE", "state": "optimized geometry", "lattice_angstrom": [[4.677, 0.000, 0.000], [0.000, 4.893, 0.000], [0.000, 0.000, 4.677]], "species": ["S", "S", "Ga", "H", "Pd"], "frac_coords": [[0.000, 0.000, 0.500], [0.500, 0.000, 0.000], [0.000, 0.000, 0.000], [0.500, 0.500, 0.500], [0.000, 0.500, 0.000]], "energy_ev_per_atom": -3.070, "dos_at_fermi_per_ev_cell": 3.7, "spacegroup": "P4/mmm", "density_g_cm3": 3.74}

=====

{"formula": "GaSb2H2Pd7", "functional": "PBE", "state": "optimized geometry", "lattice_angstrom": [[-0.523, -2.773, -2.822], [2.193, -2.570, 2.124], [-8.253, -6.197, 4.787]], "species": ["Pd", "Pd", "Pd", "Pd", "Pd", "Pd", "Pd", "Ga", "H", "H", "Sb", "Sb"], "frac_coords": [[0.090, 0.591, 0.820], [0.591, 0.090, 0.820], [0.315, 0.315, 0.369], [0.500, 0.500, 0.000], [0.910, 0.409, 0.180], [0.685, 0.685, 0.631], [0.409, 0.910, 0.180], [0.000, 0.000, 0.000], [0.589, 0.589, 0.826], [0.411, 0.411, 0.174], [0.806, 0.806, 0.386], [0.194, 0.194, 0.614]], "energy_ev_per_atom": -4.878, "dos_at_fermi_per_ev_cell": 2.1, "spacegroup": "C2/m", "density_g_cm3": 10.03}

=====

{"formula": "Ga2SiHPd", "functional": "PBE", "state": "optimized geometry", "lattice_angstrom": [[4.908, 0.000, 0.000], [0.000, 3.129, 0.000], [0.000, 0.000, 4.908]], "species": ["Ga", "Ga", "H", "Pd", "Si"], "frac_coords": [[0.000, 0.000, 0.500], [0.500, 0.000, 0.000], [0.000, 0.500, 0.000], [0.500, 0.500, 0.500], [0.000, 0.000, 0.000]], "energy_ev_per_atom": -3.822, "dos_at_fermi_per_ev_cell": 4.3, "spacegroup": "P4/mmm", "density_g_cm3": 6.06}

=====

{"formula": "Sm2GaHPd6", "functional": "PBE", "state": "optimized geometry", "lattice_angstrom": [[5.735, 0.020, 0.007], [-0.018, 6.843, 0.747], [2.859, 3.990, 4.823]], "species": ["Sm", "Sm", "Pd", "Pd", "Pd", "Pd", "Pd", "Pd", "Ga", "H"], "frac_coords": [[0.275, 0.727, 0.451], [0.725, 0.273, 0.549], [0.731, 0.272, 0.037], [0.269, 0.728, 0.963], [0.767, 0.728, 0.963], [0.270, 0.229, 0.459], [0.233, 0.272, 0.037], [0.730, 0.771, 0.541], [0.000, 0.000, 0.000], [0.500, 0.500, 0.000]], "energy_ev_per_atom": -5.409, "dos_at_fermi_per_ev_cell": 4.1, "spacegroup": "P-1", "density_g_cm3": 9.75}

=====

{"formula": "SmGaHPd2", "functional": "PBE", "state": "optimized geometry", "lattice_angstrom": [[3.849, 0.000, 0.000], [-1.925, 5.497, 0.000], [0.000, 0.000, 7.542]], "species": ["Pd", "Pd", "Pd", "Pd", "Sm", "Sm", "Ga", "Ga", "H", "H"], "frac_coords": [[0.845, 0.690, 0.055], [0.155, 0.310, 0.555], [0.155, 0.310, 0.945], [0.845, 0.690, 0.445], [0.447, 0.894, 0.750], [0.553, 0.106, 0.250], [0.270, 0.540, 0.250], [0.730, 0.460, 0.750], [0.000, 0.000, 0.000], [0.000, 0.000, 0.500]], "energy_ev_per_atom": -5.054, "dos_at_fermi_per_ev_cell": 2.8, "spacegroup": "Cmcm", "density_g_cm3": 9.03}

=====

{"formula": "GaSn2H2Pd7", "functional": "PBE", "state": "optimized geometry", "lattice_angstrom": [[4.018, -0.023, 0.172], [-0.018, 4.018, 0.172], [2.420, 2.417, 10.874]], "species": ["H", "H", "Pd", "Pd", "Pd", "Pd", "Pd", "Pd", "Pd", "Ga", "Sn", "Sn"], "frac_coords": [[0.638, 0.638, 0.820], [0.362, 0.362, 0.180], [0.626, 0.130, 0.814], [0.500, 0.500, 0.000], [0.236, 0.236, 0.388], [0.374, 0.870, 0.186], [0.870, 0.374, 0.186], [0.130, 0.626, 0.814], [0.764, 0.764, 0.612], [0.000, 0.000, 0.000], [0.748, 0.748, 0.377], [0.252, 0.252, 0.623]], "energy_ev_per_atom": -4.910, "dos_at_fermi_per_ev_cell": 3.4, "spacegroup": "C2/m", "density_g_cm3": 10.16}

=====

{"formula": "SrGaHPd2", "functional": "PBE", "state": "optimized geometry", "lattice_angstrom": [[3.987, 0.000, 0.000], [-1.993, 5.713, 0.000], [0.000, 0.000, 7.466]], "species": ["Sr", "Sr", "Pd", "Pd", "Pd", "Pd", "Ga", "Ga", "H", "H"], "frac_coords": [[0.450, 0.900, 0.750], [0.550, 0.100, 0.250], [0.841, 0.682, 0.053], [0.841, 0.682, 0.447], [0.159, 0.318, 0.947], [0.159, 0.318, 0.553], [0.727, 0.453, 0.750], [0.273, 0.547, 0.250], [0.000, 0.000, 0.000], [0.000, 0.000, 0.500]], "energy_ev_per_atom": -4.345, "dos_at_fermi_per_ev_cell": 4.3, "spacegroup": "Cmcm", "density_g_cm3": 7.25}